First-principles (GGA-PBE) data for RbNa2Pd2 after structural relaxation, as listed in the Alexandria database.

It has space group I4/mmm (No. 139), with a = 4.961 Å, b = 4.961 Å, c = 11.574 Å, α = 90.00°, β = 90.00° and γ = 90.00°. The inequivalent atoms are Rb at (0.000, 0.000, 0.000), Na at (0.000, 0.500, 0.250) and Pd at (0.000, 0.000, 0.386).

The total magnetization is 0.0 μB/cell. The calculated total energy is -2.705 eV per atom. Its formation energy is 9.03 kJ/mol of atoms. For the density, the calculation gives 4.01 Mg/m³. The energy above the lowest structure with this stoichiometry comes out at 51 meV per atom. The value obtained for the density of states at the Fermi level is 0.380 states/eV per atom.